1:
DFT (PBE) results for crystalline K3Mo5 at its relaxed geometry.

a = 7.377 Å, b = 7.377 Å, c = 3.023 Å
α = 90.00°, β = 90.00°, γ = 98.04°
Atoms (fractional coordinates):
K: 0.000 0.000 0.000
K: 0.234 0.234 0.500
K: 0.766 0.766 0.500
Mo: 0.000 0.500 0.000
Mo: 0.300 0.700 0.500
Mo: 0.500 0.000 0.000
Mo: 0.500 0.500 0.000
Mo: 0.700 0.300 0.500

Crystal system: orthorhombic
Spin magnetization: 0.04 μB/atom
SG: Cmmm, No. 65

2:
DFT (PBE) results for crystalline K3Mo5 at its relaxed geometry.

a = 11.835 Å, b = 11.835 Å, c = 4.469 Å
α = 90.00°, β = 90.00°, γ = 120.00°
Atoms (fractional coordinates):
K: 0.000 0.372 0.250
K: 0.000 0.628 0.750
K: 0.372 0.000 0.250
K: 0.372 0.372 0.750
K: 0.628 0.000 0.750
K: 0.628 0.628 0.250
Mo: 0.000 0.124 0.750
Mo: 0.000 0.876 0.250
Mo: 0.124 0.000 0.750
Mo: 0.124 0.124 0.250
Mo: 0.333 0.667 0.000
Mo: 0.333 0.667 0.500
Mo: 0.667 0.333 0.000
Mo: 0.667 0.333 0.500
Mo: 0.876 0.000 0.250
Mo: 0.876 0.876 0.750

Crystal system: hexagonal
Spin magnetization: 0.02 μB/atom
SG: P6_3/mcm, No. 193

Result of the stability comparison: 2 is the most stable of them.

1:
DFT (PBE) results for crystalline KMoN2 at its relaxed geometry.

a = 7.044 Å, b = 7.044 Å, c = 7.953 Å
α = 90.00°, β = 90.00°, γ = 129.18°
Atoms (fractional coordinates):
K: 0.173 0.827 0.924
K: 0.327 0.673 0.424
K: 0.673 0.327 0.576
K: 0.827 0.173 0.076
Mo: 0.058 0.942 0.355
Mo: 0.442 0.558 0.855
Mo: 0.558 0.442 0.145
Mo: 0.942 0.058 0.645
N: 0.094 0.906 0.590
N: 0.132 0.368 0.750
N: 0.368 0.132 0.250
N: 0.406 0.594 0.090
N: 0.594 0.406 0.910
N: 0.632 0.868 0.750
N: 0.868 0.632 0.250
N: 0.906 0.094 0.410

Crystal system: orthorhombic
Spin magnetization: 0.00 μB/atom
SG: Cmce, No. 64

2:
DFT (PBE) results for crystalline KMoN2 at its relaxed geometry.

a = 6.027 Å, b = 6.027 Å, c = 6.027 Å
α = 122.35°, β = 122.35°, γ = 85.97°
Atoms (fractional coordinates):
K: 0.000 0.000 0.000
K: 0.750 0.250 0.500
Mo: 0.250 0.750 0.500
Mo: 0.500 0.500 0.000
N: 0.281 0.625 0.156
N: 0.375 0.531 0.656
N: 0.469 0.125 0.844
N: 0.875 0.719 0.344

Crystal system: tetragonal
Spin magnetization: 0.00 μB/atom
SG: I-42d, No. 122

Result of the stability comparison: 2 is the most stable of them.